# 1
A plane-wave DFT calculation with PBE-GGA was carried out for SrY2Mo after structural relaxation.

Results
Offset from the most stable computed form = 0 meV per atom
Volume = 123.6 Å³ per cell
Crystal system = monoclinic
ΔH_f (0 K) = 1.235 eV per formula unit
Total magnetic moment = 0.00 μB/f.u.
Final energy = -24.21 eV for the cell shown

a b c (Å): 3.592 3.592 9.581
angles (deg): 90.00 90.12 90.00
Space group P2/m (No. 10)
Symmetry-distinct sites (fractional):
Sr (0.000, 0.000, 0.000)
Y (0.499, 0.500, 0.326)
Mo (0.000, 0.000, 0.500)

---

# 2
A plane-wave DFT calculation with PBE-GGA was carried out for SrZn3Mo after structural relaxation.

Results
Offset from the most stable computed form = 0 meV per atom
Volume = 122.0 Å³ per cell
Crystal system = cubic
ΔH_f (0 K) = 1.615 eV per formula unit
Total magnetic moment = 0.00 μB/f.u.
Final energy = -14.72 eV for the cell shown

a b c (Å): 4.960 4.960 4.960
angles (deg): 90.00 90.00 90.00
Space group Pm-3m (No. 221)
Symmetry-distinct sites (fractional):
Sr (0.000, 0.000, 0.000)
Zn (0.000, 0.500, 0.500)
Mo (0.500, 0.500, 0.500)

---

# 3
A plane-wave DFT calculation with PBE-GGA was carried out for Sr3ZnMo after structural relaxation.

Results
Offset from the most stable computed form = 0 meV per atom
Volume = 193.1 Å³ per cell
Crystal system = cubic
ΔH_f (0 K) = 4.196 eV per formula unit
Total magnetic moment = 0.00 μB/f.u.
Final energy = -12.95 eV for the cell shown

a b c (Å): 5.780 5.780 5.780
angles (deg): 90.00 90.00 90.00
Space group Pm-3m (No. 221)
Symmetry-distinct sites (fractional):
Sr (0.000, 0.000, 0.500)
Zn (0.500, 0.500, 0.500)
Mo (0.000, 0.000, 0.000)

---

# 4
A plane-wave DFT calculation with PBE-GGA was carried out for SrZnMo after structural relaxation.

Results
Offset from the most stable computed form = 193 meV per atom
Volume = 64.2 Å³ per cell
Crystal system = hexagonal
ΔH_f (0 K) = 2.368 eV per formula unit
Total magnetic moment = 0.27 μB/f.u.
Final energy = -11.42 eV for the cell shown

a b c (Å): 5.0127 5.0127 2.9483
angles (deg): 90.00 90.00 120.00
Space group P-6m2 (No. 187)
Symmetry-distinct sites (fractional):
Sr (0.0000, 0.0000, 0.0000)
Zn (0.6667, 0.3333, 0.5000)
Mo (0.3333, 0.6667, 0.5000)